Density functional theory data (GGA-PBE) for crystalline Sr2LiIn at its relaxed geometry.

- DOS(E_F) (states/eV/cell) = 2.29
- formation enthalpy at 0 K (eV/atom) = -0.1708
- calculated volume (Å³ per atom) = 35.63
- E_tot (eV per atom) = -2.175

Cell lengths 4.002, 4.002, 8.898 Å; angles 90.00, 90.00, 90.00 degrees
Element x y z (fractional)
Sr 0.500 0.500 0.312
Sr 0.000 0.000 0.945
In 0.000 0.000 0.553
Li 0.500 0.500 0.690